First-principles (GGA+U) data for a geometry-optimized SrCrO2 structure, as listed in Alexandria.

Output
Space-group type: Fm-3m, No. 225
Fermi-level density of states (states/eV/f.u.): 4.906
Size of the total moment (μB/atom): 1.00
Calculated density (Mg/m³): 5.4
Uncorrected energy (eV/atom): -6.162
Energy relative to the lowest polymorph listed for this composition (meV/atom): 790.3

a = 4.212 Å, b = 4.212 Å, c = 4.212 Å
α = 60.00°, β = 60.00°, γ = 60.00°
Positions (direct):
Sr: 0.000 0.000 0.000
Cr: 0.500 0.500 0.500
O: 0.250 0.250 0.250
O: 0.750 0.750 0.750